Record 1
Crystalline Al2Tc2Ru at its relaxed geometry. Source: Alexandria via LeMat-Bulk, functional PBE.

```
Al2Tc2Ru
1.0
6.707 0.000 0.000
0.000 6.707 0.000
0.000 0.000 3.182
Tc Al Ru
4 4 2
direct
0.835 0.335 0.500 Tc
0.165 0.665 0.500 Tc
0.665 0.835 0.500 Tc
0.335 0.165 0.500 Tc
0.135 0.365 0.000 Al
0.635 0.135 0.000 Al
0.865 0.635 0.000 Al
0.365 0.865 0.000 Al
0.500 0.500 0.000 Ru
0.000 0.000 0.000 Ru
```

Values from the calculation:
The value obtained for the total energy is -7.5759 eV/atom. The space-group type is P4/mbm, No. 127. The crystal system is tetragonal.

---

Record 2
Crystalline CaBTe2Au at its relaxed geometry. Source: Alexandria via LeMat-Bulk, functional PBE.

```
CaBTe2Au
1.0
-2.328 -4.190 0.391
2.107 -0.737 4.647
-3.721 2.258 2.046
Te Au Ca B
2 1 1 1
direct
0.500 0.000 0.000 Te
0.000 0.000 0.500 Te
0.500 0.500 0.500 Au
0.000 0.500 0.000 Ca
0.000 0.000 0.000 B
```

Values from the calculation:
The formation energy (no corrections) comes out at 0.225 eV/atom. The space-group type is P4/mmm, No. 123. The crystal system is tetragonal.

---

Record 3
Crystalline Mg2Cd8Pd at its relaxed geometry. Source: Alexandria via LeMat-Bulk, functional PBE.

```
Mg2Cd8Pd
1.0
-3.608 3.627 1.469
-6.201 -2.236 -3.632
-5.168 -4.132 3.585
Cd Pd Mg
8 1 2
direct
0.938 0.223 0.223 Cd
0.205 0.370 0.759 Cd
0.205 0.759 0.370 Cd
0.795 0.630 0.241 Cd
0.359 0.347 0.347 Cd
0.062 0.777 0.777 Cd
0.795 0.241 0.630 Cd
0.641 0.653 0.653 Cd
0.000 0.000 0.000 Pd
0.489 0.884 0.884 Mg
0.511 0.116 0.116 Mg
```

Values from the calculation:
The value obtained for the total energy is -1.5066 eV/atom. The space-group type is C2/m, No. 12. The crystal system is monoclinic.

---

Record 4
Crystalline Cd3PdAu at its relaxed geometry. Source: Alexandria via LeMat-Bulk, functional PBE.

```
Cd3PdAu
1.0
5.139 0.000 0.000
0.000 5.139 0.000
0.000 0.000 5.139
Cd Pd Au
3 1 1
direct
0.000 0.000 0.500 Cd
0.000 0.500 0.000 Cd
0.500 0.000 0.000 Cd
0.000 0.000 0.000 Pd
0.500 0.500 0.500 Au
```

Values from the calculation:
The value obtained for the total energy is -2.0365 eV/atom. The space-group type is Pm-3m, No. 221. The crystal system is cubic.

---

Record 5
Crystalline ErCuAg at its relaxed geometry. Source: Alexandria via LeMat-Bulk, functional PBE.

```
ErCuAg
1.0
-4.584 2.415 1.329
-0.554 2.184 -5.882
-3.322 -6.693 0.705
Er Cu Ag
4 4 4
direct
0.121 0.690 0.874 Er
0.379 0.690 0.374 Er
0.879 0.310 0.126 Er
0.621 0.310 0.626 Er
0.626 0.665 0.015 Cu
0.874 0.665 0.515 Cu
0.374 0.335 0.985 Cu
0.126 0.335 0.485 Cu
0.593 0.916 0.796 Ag
0.093 0.084 0.704 Ag
0.407 0.084 0.204 Ag
0.907 0.916 0.296 Ag
```

Values from the calculation:
The value obtained for the total energy is -4.1083 eV/atom. The space-group type is P2_1/c, No. 14. The crystal system is monoclinic.

---

Record 6
Crystalline BeCdSi2 at its relaxed geometry. Source: Alexandria via LeMat-Bulk, functional PBE.

```
BeCdSi2
1.0
-1.607 -3.037 -1.336
2.993 -0.686 -2.039
1.817 -2.505 3.510
Be Si Cd
1 2 1
direct
0.500 0.000 0.500 Be
0.500 0.500 0.000 Si
0.000 0.000 0.000 Si
0.000 0.500 0.500 Cd
```

Values from the calculation:
The formation energy (no corrections) comes out at 0.616 eV/atom. The space-group type is P4/mmm, No. 123. The crystal system is tetragonal.

---

Record 7
Crystalline BaLi2Ag at its relaxed geometry. Source: Alexandria via LeMat-Bulk, functional PBE.

```
BaLi2Ag
1.0
-1.127 -3.616 -0.423
0.729 0.207 -3.717
7.141 -2.374 1.268
Ag Ba Li
1 1 2
direct
0.000 0.000 0.429 Ag
0.500 0.500 0.721 Ba
0.000 0.000 0.079 Li
0.500 0.500 0.271 Li
```

Values from the calculation:
The value obtained for the total energy is -2.2100 eV/atom. The space-group type is Pmm2, No. 25. The crystal system is orthorhombic.

---

Record 8
Crystalline Si23Pt4 at its relaxed geometry. Source: Alexandria via LeMat-Bulk, functional PBE.

```
Si23Pt4
1.0
-7.395 0.476 -6.771
-4.776 -7.479 4.691
-4.822 6.677 5.737
Si Pt
46 8
direct
0.820 0.180 0.820 Si
0.615 0.816 0.500 Si
0.680 0.680 0.680 Si
0.500 0.385 0.184 Si
0.000 0.500 0.250 Si
0.750 0.000 0.500 Si
0.816 0.500 0.385 Si
0.500 0.750 0.000 Si
0.115 0.000 0.316 Si
0.320 0.320 0.320 Si
0.680 0.320 0.680 Si
0.820 0.180 0.180 Si
0.180 0.180 0.180 Si
0.000 0.316 0.885 Si
0.500 0.250 0.000 Si
0.820 0.820 0.820 Si
0.000 0.500 0.750 Si
0.250 0.000 0.500 Si
0.180 0.180 0.820 Si
0.500 0.615 0.816 Si
0.115 0.000 0.684 Si
0.180 0.820 0.180 Si
0.180 0.820 0.820 Si
0.320 0.320 0.680 Si
0.000 0.684 0.115 Si
0.885 0.000 0.684 Si
0.680 0.320 0.320 Si
0.816 0.500 0.615 Si
0.184 0.500 0.615 Si
0.500 0.385 0.816 Si
0.000 0.684 0.885 Si
0.320 0.680 0.320 Si
0.820 0.820 0.180 Si
0.684 0.885 0.000 Si
0.500 0.615 0.184 Si
0.385 0.816 0.500 Si
0.885 0.000 0.316 Si
0.615 0.184 0.500 Si
0.184 0.500 0.385 Si
0.385 0.184 0.500 Si
0.320 0.680 0.680 Si
0.316 0.885 0.000 Si
0.000 0.316 0.115 Si
0.684 0.115 0.000 Si
0.316 0.115 0.000 Si
0.680 0.680 0.320 Si
0.000 0.000 0.000 Pt
0.500 0.000 0.750 Pt
0.500 0.500 0.500 Pt
0.250 0.500 0.000 Pt
0.000 0.250 0.500 Pt
0.750 0.500 0.000 Pt
0.500 0.000 0.250 Pt
0.000 0.750 0.500 Pt
```

Values from the calculation:
The formation energy (no corrections) comes out at 0.433 eV/atom. The space-group type is Pm-3n, No. 223. The crystal system is cubic.

---

Record 9
Crystalline KCd2HgPt at its relaxed geometry. Source: Alexandria via LeMat-Bulk, functional PBE.

```
KCd2HgPt
1.0
5.283 0.000 0.000
0.000 5.283 0.000
0.000 0.000 6.061
K Hg Cd Pt
1 1 2 1
direct
0.000 0.000 0.500 K
0.500 0.500 0.500 Hg
0.500 0.000 0.000 Cd
0.000 0.500 0.000 Cd
0.000 0.000 0.000 Pt
```

Values from the calculation:
The value obtained for the total energy is -1.9381 eV/atom. The space-group type is P4/mmm, No. 123. The crystal system is tetragonal.

---

Record 10
Crystalline TlCoSb2 at its relaxed geometry. Source: Alexandria via LeMat-Bulk, functional PBE.

```
TlCoSb2
1.0
5.559 -0.001 0.000
1.827 5.250 0.000
-3.693 -2.624 3.221
Sb Co Tl
2 1 1
direct
0.000 0.000 0.000 Sb
0.250 0.750 0.500 Sb
0.750 0.250 0.500 Co
0.500 0.500 0.000 Tl
```

Values from the calculation:
The formation energy (no corrections) comes out at 0.598 eV/atom. The space-group type is I-4m2, No. 119. The crystal system is tetragonal.

---

Record 11
Crystalline PmErGeRu at its relaxed geometry. Source: Alexandria via LeMat-Bulk, functional PBE.

```
PmErGeRu
1.0
-0.132 1.061 -4.159
2.058 -3.125 -0.863
-4.612 -3.447 1.485
Ru Er Pm Ge
1 1 1 1
direct
0.585 0.500 0.171 Ru
0.130 0.000 0.261 Er
0.849 0.500 0.699 Pm
0.435 0.000 0.869 Ge
```

Values from the calculation:
The value obtained for the total energy is -6.3970 eV/atom. The space-group type is Amm2, No. 38. The crystal system is orthorhombic.

---

Record 12
Crystalline Ti5Ga2Ge at its relaxed geometry. Source: Alexandria via LeMat-Bulk, functional PBE.

```
Ti5Ga2Ge
1.0
6.787 0.000 0.000
0.000 6.787 0.000
-3.393 -3.393 5.680
Ga Ti Ge
4 10 2
direct
0.363 0.863 0.000 Ga
0.637 0.137 0.000 Ga
0.137 0.363 0.000 Ga
0.863 0.637 0.000 Ga
0.684 0.184 0.686 Ti
0.816 0.998 0.314 Ti
0.500 0.500 0.000 Ti
0.000 0.000 0.000 Ti
0.502 0.684 0.686 Ti
0.184 0.002 0.686 Ti
0.316 0.816 0.314 Ti
0.002 0.502 0.686 Ti
0.998 0.498 0.314 Ti
0.498 0.316 0.314 Ti
0.750 0.750 0.500 Ge
0.250 0.250 0.500 Ge
```

Values from the calculation:
The value obtained for the total energy is -6.7222 eV/atom. The space-group type is I4/mcm, No. 140. The crystal system is tetragonal.

---

Record 13
Crystalline Be17CuRh at its relaxed geometry. Source: Alexandria via LeMat-Bulk, functional PBE.

```
Be17CuRh
1.0
5.448 0.072 0.723
0.643 5.410 0.723
0.080 0.072 5.495
Cu Be Rh
1 17 1
direct
0.334 0.334 0.334 Cu
0.692 0.000 0.308 Be
0.901 0.901 0.901 Be
0.657 0.157 0.657 Be
0.099 0.099 0.099 Be
0.000 0.308 0.692 Be
0.692 0.308 0.000 Be
0.157 0.657 0.657 Be
0.347 0.833 0.347 Be
0.998 0.499 0.998 Be
0.000 0.692 0.308 Be
0.308 0.692 0.000 Be
0.657 0.657 0.157 Be
0.308 0.000 0.692 Be
0.499 0.998 0.998 Be
0.347 0.347 0.833 Be
0.833 0.347 0.347 Be
0.998 0.998 0.499 Be
0.674 0.674 0.674 Rh
```

Values from the calculation:
The value obtained for the total energy is -4.0292 eV/atom. The space-group type is R3m, No. 160. The crystal system is trigonal.

---

Record 14
Crystalline Cs3Ac2PrTe6 at its relaxed geometry. Source: Alexandria via LeMat-Bulk, functional PBE.

```
Cs3Ac2PrTe6
1.0
8.385 -0.001 0.000
-4.192 7.262 0.000
-1.398 -2.421 8.976
Te Pr Ac Cs
6 1 2 3
direct
0.257 0.257 0.800 Te
0.391 0.067 0.200 Te
0.933 0.609 0.800 Te
0.067 0.391 0.200 Te
0.609 0.933 0.800 Te
0.743 0.743 0.200 Te
0.000 0.000 0.000 Pr
0.666 0.334 0.000 Ac
0.334 0.666 0.000 Ac
0.500 0.500 0.500 Cs
0.168 0.832 0.500 Cs
0.832 0.168 0.500 Cs
```

Values from the calculation:
The formation energy (no corrections) comes out at -1.474 eV/atom. The space-group type is C2/m, No. 12. The crystal system is monoclinic.

---

Record 15
Crystalline BeCd3I at its relaxed geometry. Source: Alexandria via LeMat-Bulk, functional PBE.

```
BeCd3I
1.0
-0.295 -3.907 3.206
5.052 -0.128 0.308
-0.156 3.217 3.906
I Cd Be
1 3 1
direct
0.500 0.500 0.500 I
0.000 0.500 0.000 Cd
0.500 0.000 0.000 Cd
0.000 0.000 0.500 Cd
0.000 0.000 0.000 Be
```

Values from the calculation:
The formation energy (no corrections) comes out at 0.166 eV/atom. The space-group type is Pm-3m, No. 221. The crystal system is cubic.

---

Record 16
Crystalline HoZr2WC4 at its relaxed geometry. Source: Alexandria via LeMat-Bulk, functional PBE.

```
HoZr2WC4
1.0
3.338 0.000 0.000
-1.669 5.845 0.000
0.000 0.000 11.785
C Zr W Ho
8 4 2 2
direct
0.000 0.000 0.500 C
0.550 0.100 0.250 C
0.742 0.484 0.620 C
0.258 0.516 0.120 C
0.000 0.000 0.000 C
0.258 0.516 0.380 C
0.450 0.900 0.750 C
0.742 0.484 0.880 C
0.369 0.738 0.534 Zr
0.631 0.262 0.034 Zr
0.631 0.262 0.466 Zr
0.369 0.738 0.966 Zr
0.849 0.697 0.750 W
0.151 0.303 0.250 W
0.885 0.770 0.250 Ho
0.115 0.230 0.750 Ho
```

Values from the calculation:
The value obtained for the total energy is -9.2545 eV/atom. The space-group type is Cmcm, No. 63. The crystal system is orthorhombic.

---

Record 17
Crystalline Li4Mg5Hg at its relaxed geometry. Source: Alexandria via LeMat-Bulk, functional PBE.

```
Li4Mg5Hg
1.0
-0.649 5.056 -1.955
-0.549 0.128 -7.109
-6.862 1.880 -0.484
Li Mg Hg
4 5 1
direct
0.747 0.691 0.691 Li
0.439 0.691 0.309 Li
0.439 0.309 0.691 Li
0.130 0.309 0.309 Li
0.674 0.000 0.000 Mg
0.780 0.000 0.383 Mg
0.163 0.617 0.000 Mg
0.780 0.383 0.000 Mg
0.163 0.000 0.617 Mg
0.196 0.000 0.000 Hg
```

Values from the calculation:
The value obtained for the total energy is -1.5727 eV/atom. The space-group type is I4mm, No. 107. The crystal system is tetragonal.

---

Record 18
Crystalline Na6Sc at its relaxed geometry. Source: Alexandria via LeMat-Bulk, functional PBE.

```
Na6Sc
1.0
-3.336 -6.269 -0.862
4.156 -0.291 5.814
-4.854 5.194 0.796
Na Sc
6 1
direct
0.500 0.750 0.250 Na
0.500 0.250 0.750 Na
0.750 0.250 0.500 Na
0.250 0.750 0.500 Na
0.750 0.500 0.250 Na
0.250 0.500 0.750 Na
0.000 0.000 0.000 Sc
```

Values from the calculation:
The value obtained for the total energy is -1.3830 eV/atom. The space-group type is Im-3m, No. 229. The crystal system is cubic.

---

Record 19
Crystalline SrTlPS4 at its relaxed geometry. Source: Alexandria via LeMat-Bulk, functional PBE.

```
SrTlPS4
1.0
6.648 0.000 0.000
0.000 8.805 0.000
0.000 0.000 12.863
S Tl P Sr
16 4 4 4
direct
0.504 0.360 0.245 S
0.250 0.688 0.450 S
0.250 0.812 0.950 S
0.496 0.860 0.255 S
0.004 0.640 0.755 S
0.250 0.074 0.432 S
0.996 0.360 0.245 S
0.250 0.426 0.932 S
0.496 0.640 0.755 S
0.750 0.574 0.068 S
0.504 0.140 0.745 S
0.004 0.860 0.255 S
0.996 0.140 0.745 S
0.750 0.312 0.550 S
0.750 0.188 0.050 S
0.750 0.926 0.568 S
0.250 0.379 0.611 Tl
0.250 0.121 0.111 Tl
0.750 0.879 0.889 Tl
0.750 0.621 0.389 Tl
0.750 0.128 0.647 P
0.250 0.872 0.353 P
0.250 0.628 0.853 P
0.750 0.372 0.147 P
0.750 0.392 0.865 Sr
0.750 0.108 0.365 Sr
0.250 0.608 0.135 Sr
0.250 0.892 0.635 Sr
```

Values from the calculation:
The formation energy (no corrections) comes out at -0.934 eV/atom. The space-group type is Pnma, No. 62. The crystal system is orthorhombic.

---

Record 20
Crystalline La2YCu at its relaxed geometry. Source: Alexandria via LeMat-Bulk, functional PBE.

```
La2YCu
1.0
6.040 -0.002 0.000
2.357 5.561 0.000
-4.198 -2.780 3.336
La Cu Y
2 1 1
direct
0.000 0.000 0.000 La
0.500 0.500 0.000 La
0.750 0.250 0.500 Cu
0.250 0.750 0.500 Y
```

Values from the calculation:
The value obtained for the total energy is -4.9688 eV/atom. The space-group type is I4/mmm, No. 139. The crystal system is tetragonal.